(1)
This record from the Alexandria database describes La5Ho3Tm after structural relaxation. The functional is PBE-GGA.

The structure in POSCAR format:
```
La5Ho3Tm
1.0
-1.901 -0.625 9.269
-4.111 -8.427 -1.412
9.245 1.305 -2.866
La Ho Tm
10 6 2
Cartesian
4.298 -3.851 -2.286 La
4.805 -0.850 3.836 La
6.165 0.300 -0.658 La
2.939 -5.001 2.208 La
-1.066 -3.897 7.276 La
-1.573 -6.898 1.155 La
-2.932 -8.048 5.649 La
0.294 -2.746 2.782 La
-3.006 -4.526 3.928 La
0.000 0.000 0.000 La
-1.604 -1.296 5.488 Ho
-4.409 -7.757 2.369 Ho
-4.197 -5.686 7.403 Ho
-1.816 -3.366 0.454 Ho
3.119 -1.611 0.531 Ho
0.113 -6.137 4.460 Ho
2.169 -1.923 5.166 Tm
1.064 -5.824 -0.175 Tm
```

**E**: -4.4505 eV per atom
**E above lowest polymorph**: 0.1589 eV/atom
**Formation energy**: 0.310 eV/atom
**Fermi-level density of states**: 30.69 states/eV/cell

***

(2)
This record from the Alexandria database describes LaHoTm after structural relaxation. The functional is PBE-GGA.

The structure in POSCAR format:
```
LaHoTm
1.0
-1.805 -1.202 2.734
2.613 -5.012 -0.479
2.236 4.064 3.264
Tm Ho La
1 1 1
Cartesian
1.285 -2.788 2.591 Tm
2.060 0.837 2.475 Ho
-0.300 -0.200 0.454 La
```

**E**: -4.5767 eV per atom
**E above lowest polymorph**: 0.0477 eV/atom
**Formation energy**: 0.082 eV/atom
**Fermi-level density of states**: 5.49 states/eV/cell

***

(3)
This record from the Alexandria database describes La3HoTm4 after structural relaxation. The functional is PBE-GGA.

The structure in POSCAR format:
```
La3HoTm4
1.0
6.332 0.000 0.000
0.000 7.325 0.000
0.000 0.000 11.452
La Ho Tm
6 2 8
Cartesian
4.641 6.414 0.000 La
5.700 4.561 2.888 La
2.534 2.764 2.838 La
1.474 0.911 5.726 La
2.534 2.764 8.614 La
5.700 4.561 8.564 La
1.440 0.926 0.000 Ho
4.606 6.399 5.726 Ho
1.469 4.589 0.000 Tm
4.638 2.702 0.000 Tm
5.669 0.899 2.876 Tm
2.503 6.426 2.850 Tm
1.471 4.622 5.726 Tm
4.635 2.736 5.726 Tm
2.503 6.426 8.602 Tm
5.669 0.899 8.576 Tm
```

**E**: -4.6229 eV per atom
**E above lowest polymorph**: 0.0000 eV/atom
**Formation energy**: 0.033 eV/atom
**Fermi-level density of states**: 27.33 states/eV/cell

***

(4)
This record from the Alexandria database describes La3Ho2Tm4 after structural relaxation. The functional is PBE-GGA.

The structure in POSCAR format:
```
La3Ho2Tm4
1.0
4.179 -8.504 2.853
6.222 -1.096 -7.616
3.218 4.179 3.586
La Ho Tm
6 4 8
Cartesian
4.111 2.677 3.714 La
10.860 -6.944 -1.777 La
9.509 -8.098 -4.892 La
2.760 1.523 0.599 La
6.083 -3.472 -1.886 La
7.536 -1.949 0.708 La
4.074 -1.736 0.850 Ho
7.611 -6.955 -2.153 Ho
9.546 -3.685 -2.028 Ho
6.009 1.534 0.975 Ho
8.370 -1.408 -4.048 Tm
8.047 2.386 -1.427 Tm
5.250 -4.013 2.871 Tm
5.572 -7.807 0.249 Tm
5.864 -0.685 3.595 Tm
8.620 -5.346 0.835 Tm
7.756 -4.736 -4.773 Tm
5.000 -0.075 -2.013 Tm
```

**E**: -4.5013 eV per atom
**E above lowest polymorph**: 0.0350 eV/atom
**Formation energy**: 0.146 eV/atom
**Fermi-level density of states**: 28.22 states/eV/cell

***

(5)
This record from the Alexandria database describes La3Ho2Tm2 after structural relaxation. The functional is PBE-GGA.

The structure in POSCAR format:
```
La3Ho2Tm2
1.0
-2.601 2.123 -1.380
-6.903 -7.957 5.539
-2.964 2.636 4.862
La Ho Tm
3 2 2
Cartesian
0.000 0.000 0.000 La
-5.294 -1.436 2.981 La
-7.173 -1.761 6.040 La
-4.460 1.836 1.681 Ho
-8.008 -5.033 7.341 Ho
-6.361 1.541 4.805 Tm
-6.107 -4.739 4.216 Tm
```

**E**: -4.6677 eV per atom
**E above lowest polymorph**: 0.0000 eV/atom
**Formation energy**: 0.030 eV/atom
**Fermi-level density of states**: 9.96 states/eV/cell

***

(6)
This record from the Alexandria database describes LaHo5Tm3 after structural relaxation. The functional is PBE-GGA.

The structure in POSCAR format:
```
LaHo5Tm3
1.0
-8.113 -2.353 -0.001
2.280 -7.862 2.086
2.368 6.999 6.685
La Ho Tm
2 10 6
Cartesian
-4.331 -0.231 3.864 La
0.865 -2.986 4.907 La
2.503 0.534 6.043 Ho
-3.303 2.222 5.218 Ho
0.516 4.219 5.000 Ho
-1.316 -1.463 6.261 Ho
-5.969 -3.750 2.727 Ho
-0.163 -5.438 3.553 Ho
-3.982 -7.435 3.770 Ho
-2.150 -1.753 2.510 Ho
-2.917 -5.107 1.043 Ho
0.000 0.000 0.000 Ho
-4.769 -2.423 0.254 Tm
-1.065 -7.792 1.831 Tm
-5.705 -6.956 1.297 Tm
-0.129 -3.259 0.788 Tm
-0.275 0.946 3.864 Tm
-3.192 -4.162 4.907 Tm
```

**E**: -4.2913 eV per atom
**E above lowest polymorph**: 0.0000 eV/atom
**Formation energy**: 0.290 eV/atom
**Fermi-level density of states**: 23.00 states/eV/cell

***

(7)
This record from the Alexandria database describes LaHoTm after structural relaxation. The functional is PBE-GGA.

The structure in POSCAR format:
```
LaHoTm
1.0
3.536 0.000 -0.047
0.000 5.453 -0.009
-1.635 0.017 10.218
La Ho Tm
2 2 2
Cartesian
-0.762 1.379 9.298 La
2.663 4.091 0.864 La
0.919 1.368 2.829 Ho
0.982 4.102 7.333 Ho
-0.804 1.373 5.919 Tm
2.705 4.097 4.243 Tm
```

**E**: -4.6244 eV per atom
**E above lowest polymorph**: 0.0000 eV/atom
**Formation energy**: 0.035 eV/atom
**Fermi-level density of states**: 9.88 states/eV/cell

***

(8)
This record from the Alexandria database describes La5HoTm6 after structural relaxation. The functional is PBE-GGA.

The structure in POSCAR format:
```
La5HoTm6
1.0
-4.107 -3.210 3.200
2.999 2.395 6.256
-4.267 7.878 3.341
Tm Ho La
6 1 5
Cartesian
-3.072 1.341 7.427 Tm
-4.575 0.140 4.290 Tm
-4.066 8.073 9.642 Tm
-1.309 -1.010 3.155 Tm
-0.800 6.923 8.507 Tm
-2.303 5.722 5.370 Tm
0.000 0.000 0.000 Ho
-5.124 3.538 5.413 La
-1.795 2.361 4.265 La
1.499 1.198 3.128 La
-3.580 4.702 8.532 La
-0.251 3.525 7.384 La
```

**E**: -4.6399 eV per atom
**Formation energy**: 0.030 eV/atom
**Fermi-level density of states**: 17.79 states/eV/cell